Material: ScTi2GaN
Method: DFT, PBE
State: relaxed Values from VASP.

Structure (Quantum ESPRESSO input):
```
&SYSTEM
  ibrav = 0, nat = 5, ntyp = 4
/
ATOMIC_SPECIES
Sc 44.96 Sc.upf
N 14.01 N.upf
Ga 69.72 Ga.upf
Ti 47.87 Ti.upf
ATOMIC_POSITIONS crystal
Sc 0.000 0.000 0.500
N 0.000 0.000 0.000
Ga 0.500 0.500 0.500
Ti 0.000 0.500 0.000
Ti 0.500 0.000 0.000
CELL_PARAMETERS angstrom
4.130 0.000 0.000
0.000 4.130 0.000
0.000 0.000 4.355
```

## Properties
The value obtained for the formation energy without anion corrections is -1.0143 eV per atom. The calculation puts the total DFT energy (no corrections) at -38.545 eV for the cell shown. The relative energy among the computed polymorphs comes out at 0.000 eV/f.u. As for the density of states at the Fermi level: 0.664 states/eV/atom. As for the magnetic moment: 0.000 Bohr magnetons per cell.